# 1
Here is a geometry-optimized DyAgHg3 structure from Alexandria via LeMat-Bulk. Energies are from GGA-PBE.

Cell and atoms, written as extended XYZ:
```
10
Lattice="6.3532 0.0000 -1.4352 0.0000 5.2392 0.0000 -5.0484 -2.6196 8.1603" Properties=species:S:1:pos:R:3 pbc="T T T"
Dy -3.6005 0.0000 6.2573
Dy 4.9053 2.6196 0.4678
Ag 0.4751 0.0000 2.6142
Ag 0.8297 2.6196 4.1109
Hg -0.2248 2.6196 7.0182
Hg 1.5296 0.0000 -0.2932
Hg 1.6403 2.6196 1.2649
Hg -0.3356 0.0000 5.4602
Hg -2.4128 2.6196 4.9070
Hg 3.7176 0.0000 1.8181
```

Properties
As for the total energy: -9.3 eV per formula unit. The relative energy among the computed polymorphs comes out at 54 meV/atom. The crystal system is monoclinic.

# 2
Here is a geometry-optimized RbNaGa2Re structure from Alexandria via LeMat-Bulk. Energies are from GGA-PBE.

Cell and atoms, written as extended XYZ:
```
5
Lattice="4.9800 0.0000 0.0000 0.0000 5.7434 0.0000 0.0000 0.0000 4.9800" Properties=species:S:1:pos:R:3 pbc="T T T"
Re 0.0000 0.0000 0.0000
Ga 0.0000 0.0000 2.4900
Ga 2.4900 0.0000 0.0000
Rb 0.0000 2.8717 0.0000
Na 2.4900 2.8717 2.4900
```

Properties
As for the total energy: -17.8 eV per formula unit. The crystal system is tetragonal.

# 3
Here is a geometry-optimized Ca2Y2Cd structure from Alexandria via LeMat-Bulk. Energies are from GGA-PBE.

Cell and atoms, written as extended XYZ:
```
10
Lattice="7.8645 0.0000 0.0000 0.0000 7.8645 0.0000 0.0000 0.0000 5.5137" Properties=species:S:1:pos:R:3 pbc="T T T"
Y 1.3023 5.2346 2.7568
Y 5.2346 6.5622 2.7568
Y 6.5622 2.6300 2.7568
Y 2.6300 1.3023 2.7568
Ca 2.7796 6.7119 0.0000
Ca 6.7119 5.0849 0.0000
Ca 5.0849 1.1527 0.0000
Ca 1.1527 2.7796 0.0000
Cd 0.0000 0.0000 0.0000
Cd 3.9323 3.9323 0.0000
```

Properties
As for the total energy: -16.8 eV per formula unit. The relative energy among the computed polymorphs comes out at 49 meV/atom. The crystal system is tetragonal.